#w
Entry from the Alexandria database: crystalline Y2CrAu at its relaxed geometry (PBE).

POSCAR file:
```
Y2CrAu
1.0
-8.672 -1.520 1.170
-7.185 -3.557 3.823
-7.740 0.021 4.357
Au Y Cr
1 2 1
direct
0.250 0.250 0.250
0.000 0.000 0.000
0.500 0.500 0.500
0.750 0.750 0.750
```

=====

#x
Entry from the Alexandria database: crystalline Y2CrAu at its relaxed geometry (PBE).

POSCAR file:
```
Y2CrAu
1.0
-3.507 0.219 4.604
-3.982 -4.188 0.375
5.714 0.253 -0.906
Cr Au Y
1 1 2
direct
0.750 0.250 0.500
0.500 0.500 0.000
0.000 0.000 0.000
0.250 0.750 0.500
```

=====

It is #x that is the most stable of them.